# 1
The following is a GGA-PBE calculation of a relaxed structure of Hf8Co2Pt, from Alexandria via LeMat-Bulk.

Cell lengths 8.623, 8.623, 6.034 Å; angles 108.83, 108.83, 30.73 degrees
Positions (direct):
1 Hf 0.030 0.030 0.267
2 Hf 0.203 0.203 0.853
3 Hf 0.322 0.322 0.493
4 Hf 0.407 0.407 0.019
5 Hf 0.593 0.593 0.981
6 Hf 0.678 0.678 0.507
7 Hf 0.797 0.797 0.147
8 Hf 0.970 0.970 0.733
9 Co 0.169 0.169 0.235
10 Co 0.831 0.831 0.765
11 Pt 0.500 0.500 0.500

DOS at the Fermi energy: 8.16 states/eV/cell
Energy relative to the lowest polymorph listed for this composition: 0.000 eV per atom
SG: No. 12
Spin magnetization: 0.0 μB per cell

***

# 2
The following is a GGA-PBE calculation of a relaxed structure of TbPm3Pr4, from Alexandria via LeMat-Bulk.

Cell lengths 12.088, 12.088, 6.985 Å; angles 106.72, 106.72, 16.84 degrees
Positions (direct):
1 Tb 0.000 0.000 0.000
2 Pm 0.377 0.377 0.118
3 Pm 0.500 0.500 0.500
4 Pm 0.623 0.623 0.882
5 Pr 0.242 0.242 0.239
6 Pr 0.377 0.377 0.636
7 Pr 0.623 0.623 0.364
8 Pr 0.758 0.758 0.761

DOS at the Fermi energy: 13.23 states/eV/cell
Energy relative to the lowest polymorph listed for this composition: 0.136 eV per atom
SG: No. 12
Spin magnetization: 0.0 μB per cell

***

# 3
The following is a GGA-PBE calculation of a relaxed structure of IrW4, from Alexandria via LeMat-Bulk.

Cell lengths 4.680, 4.680, 4.680 Å; angles 90.00, 90.00, 90.00 degrees
Positions (direct):
1 Ir 0.000 0.000 0.000
2 W 0.000 0.000 0.500
3 W 0.000 0.500 0.000
4 W 0.500 0.000 0.000
5 W 0.500 0.500 0.500

DOS at the Fermi energy: 5.28 states/eV/cell
Energy relative to the lowest polymorph listed for this composition: 2.058 eV per atom
SG: No. 221
Spin magnetization: 0.0 μB per cell

***

# 4
The following is a GGA-PBE calculation of a relaxed structure of CuRe2Os, from Alexandria via LeMat-Bulk.

Cell lengths 4.567, 4.567, 2.765 Å; angles 90.00, 90.00, 90.00 degrees
Positions (direct):
1 Cu 0.000 0.000 0.000
2 Re 0.000 0.500 0.500
3 Re 0.500 0.000 0.500
4 Os 0.500 0.500 0.000

DOS at the Fermi energy: 3.54 states/eV/cell
Energy relative to the lowest polymorph listed for this composition: 0.309 eV per atom
SG: No. 123
Spin magnetization: 0.0 μB per cell

***

# 5
The following is a GGA-PBE calculation of a relaxed structure of RePt3, from Alexandria via LeMat-Bulk.

Cell lengths 4.458, 4.458, 4.458 Å; angles 60.00, 60.00, 60.00 degrees
Positions (direct):
1 Re 0.000 0.000 0.000
2 Pt 0.250 0.250 0.250
3 Pt 0.500 0.500 0.500
4 Pt 0.750 0.750 0.750

DOS at the Fermi energy: 4.99 states/eV/cell
DFT total energy: -0.2725 hartree per atom
SG: No. 225
Spin magnetization: 0.0 μB per cell

***

# 6
The following is a GGA-PBE calculation of a relaxed structure of AcIr2, from Alexandria via LeMat-Bulk.

Cell lengths 5.753, 5.753, 5.753 Å; angles 143.17, 143.17, 53.07 degrees
Positions (direct):
1 Ac 0.000 0.000 0.000
2 Ir 0.282 0.282 0.000
3 Ir 0.718 0.718 0.000

DOS at the Fermi energy: 3.80 states/eV/cell
Energy relative to the lowest polymorph listed for this composition: 0.546 eV per atom
SG: No. 139
Spin magnetization: 0.0 μB per cell